Be2SbAs GGA-PBE optimized geometry; calculated volume = 70.98 Å³ per cell; excess energy over the best structure of this formula in the dataset = 0 meV per atom; SG = Cm, No. 8
1.0
-0.137 0.259 4.022
-1.232 -2.746 2.685
4.915 -2.613 1.850
Be As Sb
2 1 1
Cartesian
3.413 -4.990 8.418
3.025 -4.017 6.549
0.205 -0.907 1.870
2.220 -2.836 4.555